{
  "formula": "Fe2AgF8",
  "functional": "PBE+U",
  "state": "optimized geometry",
  "cell": [[4.7017, -4.3940, 0.0000], [4.7017, 4.3940, 0.0000], [-1.1240, 0.0000, 3.6949]],
  "species": ["Fe", "Fe", "Ag", "F", "F", "F", "F", "F", "F", "F", "F"],
  "frac_coords": [[0.1742, 0.8258, 0.0000], [0.8258, 0.1742, 0.0000], [0.5000, 0.5000, 0.5000], [0.1423, 0.1423, 0.0944], [0.1553, 0.8447, 0.5000], [0.2216, 0.5255, 0.7752], [0.4745, 0.7784, 0.2248], [0.5255, 0.2216, 0.7752], [0.7784, 0.4745, 0.2248], [0.8447, 0.1553, 0.5000], [0.8577, 0.8577, 0.9056]],
  "e_above_lowest_polymorph_kcal_per_mol_atoms": 1.991
}